Entry 1:
The following is a DFT calculation (PBE) of a geometry-optimized CdAg6Au structure.

Unit cell a=4.811 b=5.926 c=10.245 alpha=90.00 beta=90.00 gamma=90.00
Fractional positions:
Cd 0.000 0.000 0.000
Cd 0.000 0.500 0.500
Ag 0.000 0.000 0.501
Ag 0.000 0.250 0.250
Ag 0.000 0.250 0.750
Ag 0.000 0.500 0.001
Ag 0.000 0.750 0.250
Ag 0.000 0.750 0.750
Ag 0.500 0.000 0.831
Ag 0.500 0.248 0.584
Ag 0.500 0.252 0.084
Ag 0.500 0.500 0.331
Ag 0.500 0.748 0.084
Ag 0.500 0.752 0.584
Au 0.500 0.000 0.333
Au 0.500 0.500 0.833

Output
* space group: Amm2 (38)
* offset from the most stable computed form: 5 meV/atom
* total magnetic moment: 0.00 μB per formula unit
* energy of formation from the pure elements: -0.02 eV per atom



Entry 2:
The following is a DFT calculation (PBE) of a geometry-optimized Cd6Ag2Au structure.

Unit cell a=8.124 b=8.124 c=4.557 alpha=105.28 beta=105.28 gamma=48.36
Fractional positions:
Cd 0.091 0.576 0.334
Cd 0.244 0.756 0.000
Cd 0.424 0.909 0.666
Cd 0.576 0.091 0.334
Cd 0.756 0.244 0.000
Cd 0.909 0.424 0.666
Ag 0.167 0.167 0.166
Ag 0.833 0.833 0.834
Au 0.500 0.500 0.500

Output
* space group: C2/m (12)
* offset from the most stable computed form: 35 meV/atom
* total magnetic moment: 0.00 μB per formula unit
* energy of formation from the pure elements: -0.02 eV per atom



Entry 3:
The following is a DFT calculation (PBE) of a geometry-optimized CdAg12Au3 structure.

Unit cell a=4.158 b=4.158 c=16.698 alpha=90.00 beta=90.00 gamma=90.00
Fractional positions:
Cd 0.000 0.000 0.000
Ag 0.000 0.500 0.128
Ag 0.000 0.500 0.376
Ag 0.000 0.500 0.624
Ag 0.000 0.500 0.872
Ag 0.500 0.000 0.128
Ag 0.500 0.000 0.376
Ag 0.500 0.000 0.624
Ag 0.500 0.000 0.872
Ag 0.500 0.500 0.000
Ag 0.500 0.500 0.252
Ag 0.500 0.500 0.500
Ag 0.500 0.500 0.748
Au 0.000 0.000 0.253
Au 0.000 0.000 0.500
Au 0.000 0.000 0.747

Output
* space group: P4/mmm (123)
* total magnetic moment: 0.00 μB per formula unit
* energy of formation from the pure elements: -0.03 eV per atom



Entry 4:
The following is a DFT calculation (PBE) of a geometry-optimized CdAg6Au12 structure.

Unit cell a=7.324 b=7.324 c=7.324 alpha=102.23 beta=102.23 gamma=102.23
Fractional positions:
Cd 0.000 0.000 0.000
Ag 0.161 0.182 0.425
Ag 0.182 0.425 0.161
Ag 0.425 0.161 0.182
Ag 0.575 0.839 0.818
Ag 0.818 0.575 0.839
Ag 0.839 0.818 0.575
Au 0.014 0.749 0.259
Au 0.189 0.608 0.573
Au 0.251 0.741 0.986
Au 0.259 0.014 0.749
Au 0.392 0.427 0.811
Au 0.427 0.811 0.392
Au 0.573 0.189 0.608
Au 0.608 0.573 0.189
Au 0.741 0.986 0.251
Au 0.749 0.259 0.014
Au 0.811 0.392 0.427
Au 0.986 0.251 0.741

Output
* space group: R-3 (148)
* total magnetic moment: 0.00 μB per formula unit
* energy of formation from the pure elements: 0.02 eV per atom



Entry 5:
The following is a DFT calculation (PBE) of a geometry-optimized CdAg5Au structure.

Unit cell a=7.243 b=7.243 c=5.665 alpha=99.15 beta=99.15 gamma=65.59
Fractional positions:
Cd 0.238 0.762 0.750
Cd 0.762 0.238 0.250
Ag 0.101 0.283 0.539
Ag 0.125 0.875 0.250
Ag 0.283 0.101 0.039
Ag 0.341 0.446 0.351
Ag 0.446 0.341 0.851
Ag 0.554 0.659 0.149
Ag 0.659 0.554 0.649
Ag 0.717 0.899 0.961
Ag 0.875 0.125 0.750
Ag 0.899 0.717 0.461
Au 0.000 0.500 0.000
Au 0.500 0.000 0.500

Output
* space group: C2/c (15)
* offset from the most stable computed form: 0 meV/atom
* total magnetic moment: 0.00 μB per formula unit
* energy of formation from the pure elements: 0.03 eV per atom



Entry 6:
The following is a DFT calculation (PBE) of a geometry-optimized CdAg2Au6 structure.

Unit cell a=7.350 b=7.350 c=7.350 alpha=147.74 beta=110.26 gamma=78.94
Fractional positions:
Cd 0.000 0.000 0.000
Ag 0.332 0.332 0.000
Ag 0.668 0.668 0.000
Au 0.091 0.833 0.258
Au 0.247 0.500 0.747
Au 0.425 0.167 0.258
Au 0.575 0.833 0.742
Au 0.753 0.500 0.253
Au 0.909 0.167 0.742

Output
* space group: Immm (71)
* offset from the most stable computed form: 113 meV/atom
* total magnetic moment: 0.00 μB per formula unit
* energy of formation from the pure elements: 0.04 eV per atom